Hf2AsSe2 (PBE, relaxed); energy relative to the elements, uncorrected = -0.4471 eV per atom; space-group type = I4/mmm, No. 139; E = -33.8 eV for the cell shown; volume = 114 Å³/f.u.
1.0
-2.838 -1.582 -2.742
3.157 -1.700 -2.286
-0.203 -6.901 0.895
As Hf Se
1 2 2
Direct
0.000 0.000 0.000 As
0.378 0.378 0.243 Hf
0.622 0.622 0.757 Hf
0.750 0.250 0.500 Se
0.250 0.750 0.500 Se